# 1
# SrGeBAs2

An optimized crystal structure of SrGeBAs2 (GGA-PBE, Alexandria).

Lattice parameters (Å, degrees): 4.470 5.241 4.470 90.00 90.00 90.00
Sites, in units of the cell vectors:
As1 0.500 0.000 0.000
As2 0.000 0.000 0.500
Ge1 0.500 0.500 0.500
Sr1 0.000 0.500 0.000
B1 0.000 0.000 0.000

Output
**Calculated volume**: 20.9 Å³ per atom
**Space group**: P4/mmm, No. 123
**ΔE_f**: 0.384 eV/atom
**Crystal system**: tetragonal
**Total magnetic moment**: 0.00 Bohr magnetons per cell

# 2
# Pm4ZnIr

An optimized crystal structure of Pm4ZnIr (GGA-PBE, Alexandria).

Lattice parameters (Å, degrees): 4.886 5.137 7.132 83.36 90.02 90.00
Sites, in units of the cell vectors:
Ir1 0.001 0.997 0.498
Zn1 0.501 0.497 0.998
Pm1 0.501 0.957 0.259
Pm2 0.001 0.531 0.737
Pm3 0.501 0.037 0.737
Pm4 0.002 0.464 0.259

Output
**Calculated volume**: 29.6 Å³ per atom
**Space group**: P2/m, No. 10
**ΔE_f**: -0.264 eV/atom
**Crystal system**: monoclinic
**Total magnetic moment**: 0.00 Bohr magnetons per cell

# 3
# KTl2Cd

An optimized crystal structure of KTl2Cd (GGA-PBE, Alexandria).

Lattice parameters (Å, degrees): 6.254 6.254 6.254 136.40 128.65 69.59
Sites, in units of the cell vectors:
Tl1 0.986 0.986 0.000
Tl2 0.741 0.241 0.500
K1 0.254 0.754 0.500
Cd1 0.518 0.518 0.000

Output
**Calculated volume**: 32.3 Å³ per atom
**Space group**: Imm2, No. 44
**ΔE_f**: -0.016 eV/atom
**Crystal system**: orthorhombic
**Total magnetic moment**: 0.00 Bohr magnetons per cell

# 4
# Nb2NiHRu

An optimized crystal structure of Nb2NiHRu (GGA-PBE, Alexandria).

Lattice parameters (Å, degrees): 4.060 4.060 3.865 90.00 90.00 90.00
Sites, in units of the cell vectors:
Ru1 0.000 0.000 0.500
Nb1 0.000 0.500 0.000
Nb2 0.500 0.000 0.000
Ni1 0.500 0.500 0.500
H1 0.000 0.000 0.000

Output
**Energy**: -39.29 eV/f.u.
**Calculated volume**: 12.7 Å³ per atom
**Space group**: P4/mmm, No. 123
**Crystal system**: tetragonal
**Total magnetic moment**: 0.00 Bohr magnetons per cell

# 5
# CaSi2Se

An optimized crystal structure of CaSi2Se (GGA-PBE, Alexandria).

Lattice parameters (Å, degrees): 3.967 3.967 41.676 90.00 90.00 120.00
Sites, in units of the cell vectors:
Si1 0.000 0.000 0.604
Si2 0.667 0.333 0.880
Si3 0.000 0.000 0.863
Si4 0.667 0.333 0.292
Si5 0.000 0.000 0.959
Si6 0.333 0.667 0.625
Si7 0.000 0.000 0.547
Si8 0.667 0.333 0.196
Si9 0.333 0.667 0.271
Si10 0.333 0.667 0.214
Si11 0.667 0.333 0.938
Si12 0.333 0.667 0.530
Ca1 0.333 0.667 0.347
Ca2 0.667 0.333 0.768
Ca3 0.000 0.000 0.434
Ca4 0.000 0.000 0.680
Ca5 0.667 0.333 0.013
Ca6 0.333 0.667 0.101
Se1 0.333 0.667 0.723
Se2 0.000 0.000 0.807
Se3 0.333 0.667 0.474
Se4 0.000 0.000 0.056
Se5 0.667 0.333 0.141
Se6 0.667 0.333 0.390

Output
**E_form (uncorrected)**: -0.76 eV/atom
**Calculated volume**: 23.7 Å³ per atom
**Space group**: R3m, No. 160
**Crystal system**: trigonal
**Total magnetic moment**: 0.00 Bohr magnetons per cell

# 6
# LiNd4Hg7

An optimized crystal structure of LiNd4Hg7 (GGA-PBE, Alexandria).

Lattice parameters (Å, degrees): 5.323 8.655 8.229 68.06 71.13 72.09
Sites, in units of the cell vectors:
Hg1 0.182 0.998 0.638
Hg2 0.321 0.536 0.823
Hg3 0.679 0.464 0.177
Hg4 0.500 0.000 0.000
Hg5 0.062 0.650 0.225
Hg6 0.938 0.350 0.775
Hg7 0.818 0.002 0.362
Nd1 0.571 0.249 0.608
Nd2 0.429 0.751 0.392
Nd3 0.739 0.739 0.783
Nd4 0.261 0.261 0.217
Li1 0.000 0.000 0.000

Output
**Calculated volume**: 27.1 Å³ per atom
**Space group**: C2/m, No. 12
**ΔE_f**: -0.370 eV/atom
**Crystal system**: monoclinic
**Total magnetic moment**: 0.00 Bohr magnetons per cell

# 7
# TeAsW2

An optimized crystal structure of TeAsW2 (GGA-PBE, Alexandria).

Lattice parameters (Å, degrees): 5.881 5.881 5.881 147.55 138.49 53.65
Sites, in units of the cell vectors:
Te1 0.719 0.219 0.500
W1 0.034 0.034 0.000
W2 0.280 0.780 0.500
As1 0.467 0.467 0.000

Output
**E_form (uncorrected)**: 0.60 eV/atom
**Calculated volume**: 18.0 Å³ per atom
**Space group**: Imm2, No. 44
**Crystal system**: orthorhombic
**Total magnetic moment**: 0.00 Bohr magnetons per cell

# 8
# BaTiIn2

An optimized crystal structure of BaTiIn2 (GGA-PBE, Alexandria).

Lattice parameters (Å, degrees): 5.487 5.487 10.639 75.06 75.06 90.00
Last column: magnetic moment on the atom in μB.
Sites, in units of the cell vectors:
Ti1 0.250 0.750 0.500  1.66
Ti2 0.500 0.500 0.000  1.66
In1 0.375 0.543 0.750  0.04
In2 0.293 0.625 0.250  0.06
In3 0.875 0.707 0.750  0.04
In4 0.457 0.125 0.250  0.06
Ba1 0.000 0.000 0.000  0.08
Ba2 0.750 0.250 0.500  0.08

Output
**Calculated volume**: 37.3 Å³ per atom
**Space group**: I-42d, No. 122
**ΔE_f**: 0.272 eV/atom
**Crystal system**: tetragonal
**Total magnetic moment**: 5.38 Bohr magnetons per cell